Entry 1:
Below is a geometry-optimized DyY6Th2 structure, with properties calculated at the PBE-GGA level.

Cell: 3.587 3.587 26.346 Å, 90.00 90.00 120.00°
Positions (direct):
Dy  0.000  0.000  0.000
Y  0.000  0.000  0.217
Y  0.000  0.000  0.437
Y  0.000  0.000  0.563
Y  0.000  0.000  0.783
Y  0.333  0.667  0.108
Y  0.333  0.667  0.892
Th  0.333  0.667  0.329
Th  0.333  0.667  0.671

Computed properties:
DOS(E_F)   19.29 states/eV per cell
Symmetry   P-6m2, No. 187
Formation enthalpy at 0 K   70 meV per atom

---

Entry 2:
Below is a geometry-optimized Pm3Ga2 structure, with properties calculated at the PBE-GGA level.

Cell: 8.372 8.372 7.650 Å, 90.00 90.00 90.00°
Positions (direct):
Pm  0.000  0.500  0.250
Pm  0.000  0.500  0.750
Pm  0.153  0.153  0.000
Pm  0.196  0.196  0.500
Pm  0.304  0.696  0.000
Pm  0.347  0.653  0.500
Pm  0.500  0.000  0.250
Pm  0.500  0.000  0.750
Pm  0.653  0.347  0.500
Pm  0.696  0.304  0.000
Pm  0.804  0.804  0.500
Pm  0.847  0.847  0.000
Ga  0.120  0.880  0.301
Ga  0.120  0.880  0.699
Ga  0.380  0.380  0.199
Ga  0.380  0.380  0.801
Ga  0.620  0.620  0.199
Ga  0.620  0.620  0.801
Ga  0.880  0.120  0.301
Ga  0.880  0.120  0.699

Computed properties:
DOS(E_F)   29.91 states/eV per cell
Symmetry   P4_2/mnm, No. 136
Formation enthalpy at 0 K   -453 meV per atom

---

Entry 3:
Below is a geometry-optimized HoTh2Mg structure, with properties calculated at the PBE-GGA level.

Cell: 12.735 12.735 12.735 Å, 15.45 15.45 15.45°
Positions (direct):
Ho  0.000  0.000  0.000
Th  0.412  0.412  0.412
Th  0.588  0.588  0.588
Mg  0.500  0.500  0.500

Computed properties:
DOS(E_F)   5.08 states/eV per cell
Symmetry   R-3m, No. 166
Formation enthalpy at 0 K   271 meV per atom